UPaFe2: relaxed, PBE-GGA.

Computed properties:
**E above lowest polymorph**: 0.56 eV per formula unit
**DOS at the Fermi energy**: 9.9 states/eV per cell
**Energy of formation from the pure elements**: -0.006 eV/atom
**Density**: 13.4 g/cm³

Lattice parameters (Å, degrees): 3.7081 3.7081 18.1856 90.00 90.00 120.00
Space group R-3m (No. 166, hexagonal axes)
Symmetry-distinct sites (fractional):
U: 0.0000 0.0000 0.0000 (multiplicity 3)
Pa: 0.0000 0.0000 0.5000 (multiplicity 3)
Fe: 0.0000 0.0000 0.2534 (multiplicity 6)